No. 1
## DyTmGa2Ag2 (PBE)

Data for a relaxed structure of DyTmGa2Ag2.

abc: 4.5791 4.5791 6.9579
angles: 90.00 90.00 120.00
Closest atoms and distances in Å follow each position.
Fractional coordinates of all 6 atoms:
Ag (0.6667, 0.3333, 0.2659)  3 Ga 2.66
Ag (0.6667, 0.3333, 0.7341)  3 Ga 2.66
Dy (0.0000, 0.0000, 0.0000)  6 Ga 3.06, 6 Ag 3.23
Ga (0.3333, 0.6667, 0.2203)  3 Ag 2.66
Ga (0.3333, 0.6667, 0.7797)  3 Ag 2.66
Tm (0.0000, 0.0000, 0.5000)  6 Ag 3.11, 6 Ga 3.28

Summary:
- Raw total energy: -3.963 eV per atom
- M_tot: 0.01 Bohr magnetons per cell
- Symmetry: No. 187

=====

No. 2
## Cu2Ag3 (PBE)

Data for a relaxed structure of Cu2Ag3.

abc: 10.1160 10.1160 3.9411
angles: 90.00 90.00 157.35
Closest atoms and distances in Å follow each position.
Fractional coordinates of all 10 atoms:
Ag (0.6460, 0.3540, 0.2500)  6 Cu 2.76-2.80, 6 Ag 2.77-2.86
Ag (0.2497, 0.7503, 0.2500)  8 Ag 2.80-2.86, 4 Cu 2.85-2.87
Ag (0.0488, 0.9512, 0.2500)  8 Cu 2.76-2.80, 4 Ag 2.76-2.77
Ag (0.9512, 0.0488, 0.7500)  8 Cu 2.76-2.80, 4 Ag 2.76-2.77
Ag (0.7503, 0.2497, 0.7500)  8 Ag 2.80-2.86, 4 Cu 2.85-2.87
Ag (0.3540, 0.6460, 0.7500)  6 Cu 2.76-2.80, 6 Ag 2.77-2.86
Cu (0.8540, 0.1460, 0.2500)  10 Ag 2.76-2.87, 2 Cu 2.77
Cu (0.4511, 0.5489, 0.2500)  8 Ag 2.76-2.80, 4 Cu 2.76-2.77
Cu (0.5489, 0.4511, 0.7500)  8 Ag 2.76-2.80, 4 Cu 2.76-2.77
Cu (0.1460, 0.8540, 0.7500)  10 Ag 2.76-2.87, 2 Cu 2.77

Summary:
- Formation energy: 0.10 eV per atom
- E above lowest polymorph: 30.5 kJ/mol of formula units
- Symmetry: No. 63

=====

No. 3
## Pu3InGa2 (PBE)

Data for a relaxed structure of Pu3InGa2.

abc: 3.1302 3.1302 13.8710
angles: 90.00 90.00 90.00
Closest atoms and distances in Å follow each position.
Fractional coordinates of all 6 atoms:
Ga (0.5000, 0.5000, 0.1600)  8 Pu 3.12-3.13, 4 Ga 3.13
Ga (0.5000, 0.5000, 0.8400)  8 Pu 3.12-3.13, 4 Ga 3.13
In (0.5000, 0.5000, 0.5000)  4 In 3.13, 8 Pu 3.35
Pu (0.0000, 0.0000, 0.0000)  4 Pu 3.13, 8 Ga 3.13
Pu (0.0000, 0.0000, 0.3186)  4 Ga 3.12, 4 Pu 3.13, 4 In 3.35
Pu (0.0000, 0.0000, 0.6814)  4 Ga 3.12, 4 Pu 3.13, 4 In 3.35

Summary:
- Raw total energy: -8.895 eV per atom
- M_tot: 16.70 Bohr magnetons per cell
- Symmetry: No. 123

=====

No. 4
## La2MgNi9 (PBE)

Data for a relaxed structure of La2MgNi9.

abc: 8.7712 8.7712 8.7712
angles: 32.76 32.76 32.76
Closest atoms and distances in Å follow each position.
Fractional coordinates of all 12 atoms:
La (0.1350, 0.1350, 0.1350)  9 Ni 2.84-2.96
La (0.8650, 0.8650, 0.8650)  9 Ni 2.84-2.96
Mg (0.0000, 0.0000, 0.0000)  18 Ni 2.86-3.15
Ni (0.5784, 0.5784, 0.0794)  7 Ni 2.41-2.61
Ni (0.3327, 0.3327, 0.3327)  6 Ni 2.41-2.44
Ni (0.9206, 0.4216, 0.4216)  7 Ni 2.41-2.61
Ni (0.4216, 0.9206, 0.4216)  7 Ni 2.41-2.61
Ni (0.5000, 0.5000, 0.5000)  6 Ni 2.61
Ni (0.5784, 0.0794, 0.5784)  7 Ni 2.41-2.61
Ni (0.0794, 0.5784, 0.5784)  7 Ni 2.41-2.61
Ni (0.6673, 0.6673, 0.6673)  6 Ni 2.41-2.44
Ni (0.4216, 0.4216, 0.9206)  7 Ni 2.41-2.61

Summary:
- Raw total energy: -5.357 eV per atom
- M_tot: 1.66 Bohr magnetons per cell
- Symmetry: No. 166

=====

No. 5
## HfTaGa2 (PBE)

Data for a relaxed structure of HfTaGa2.

abc: 4.6743 4.6743 4.6743
angles: 60.00 60.00 60.00
Closest atoms and distances in Å follow each position.
Fractional coordinates of all 4 atoms:
Ga (0.0000, 0.0000, 0.0000)  4 Hf 2.86, 4 Ga 2.86
Ga (0.7500, 0.7500, 0.7500)  4 Ta 2.86, 4 Ga 2.86
Hf (0.2500, 0.2500, 0.2500)  4 Ta 2.86, 4 Ga 2.86
Ta (0.5000, 0.5000, 0.5000)  4 Ga 2.86, 4 Hf 2.86

Summary:
- Raw total energy: -6.685 eV per atom
- M_tot: 0.75 Bohr magnetons per cell
- Symmetry: No. 216

=====

No. 6
## Nd2NiAs2Pd (PBE)

Data for a relaxed structure of Nd2NiAs2Pd.

abc: 4.2568 4.2568 7.9678
angles: 90.00 90.00 120.00
Closest atoms and distances in Å follow each position.
Fractional coordinates of all 6 atoms:
As (0.3333, 0.6667, 0.0000)  3 Ni 2.46
As (0.0000, 0.0000, 0.5000)  3 Pd 2.46
Nd (0.6667, 0.3333, 0.2451)  6 As 3.14-3.19, 3 Ni 3.14, 3 Pd 3.19
Nd (0.6667, 0.3333, 0.7549)  6 As 3.14-3.19, 3 Ni 3.14, 3 Pd 3.19
Ni (0.0000, 0.0000, 0.0000)  3 As 2.46
Pd (0.3333, 0.6667, 0.5000)  3 As 2.46

Summary:
- Raw total energy: -6.022 eV per atom
- M_tot: 0.00 Bohr magnetons per cell
- Symmetry: No. 187

=====

No. 7
## HfPPbO (PBE)

Data for a relaxed structure of HfPPbO.

abc: 4.1285 4.1285 8.8917
angles: 90.00 90.00 90.00
Closest atoms and distances in Å follow each position.
Fractional coordinates of all 8 atoms:
Hf (0.0000, 0.5000, 0.0815)  4 O 2.19
Hf (0.5000, 0.0000, 0.9185)  4 O 2.19
O (0.0000, 0.0000, 0.0000)  4 Hf 2.19
O (0.5000, 0.5000, 0.0000)  4 Hf 2.19
P (0.5000, 0.0000, 0.2316)  1 Hf 2.78, 4 O 2.92
P (0.0000, 0.5000, 0.7684)  1 Hf 2.78, 4 O 2.92
Pb (0.0000, 0.0000, 0.5000)  4 Pb 2.92, 4 P 3.16
Pb (0.5000, 0.5000, 0.5000)  4 Pb 2.92, 4 P 3.16

Summary:
- E above lowest polymorph: 129.0 kJ/mol of formula units
- M_tot: 0.01 Bohr magnetons per cell
- Symmetry: No. 129

=====

No. 8
## CdGaW4C2 (PBE)

Data for a relaxed structure of CdGaW4C2.

abc: 3.0595 3.0595 13.8953
angles: 90.00 90.00 120.00
Closest atoms and distances in Å follow each position.
Fractional coordinates of all 8 atoms:
C (0.3333, 0.6667, 0.2606)  6 W 2.12-2.14
C (0.3333, 0.6667, 0.7394)  6 W 2.12-2.14
Cd (0.0000, 0.0000, 0.0000)  6 W 3.03, 6 Cd 3.06
Ga (0.6667, 0.3333, 0.5000)  6 W 2.76, 6 Ga 3.06
W (0.6667, 0.3333, 0.1769)  3 C 2.12
W (0.0000, 0.0000, 0.3475)  3 C 2.14
W (0.0000, 0.0000, 0.6525)  3 C 2.14
W (0.6667, 0.3333, 0.8231)  3 C 2.12

Summary:
- Raw total energy: -9.112 eV per atom
- M_tot: 0.00 Bohr magnetons per cell
- Symmetry: No. 187

=====

No. 9
## GdEr2Sc3Te2Os (PBE)

Data for a relaxed structure of GdEr2Sc3Te2Os.

abc: 4.0041 7.9051 7.9051
angles: 119.46 90.00 90.00
Closest atoms and distances in Å follow each position.
Fractional coordinates of all 9 atoms:
Er (0.0000, 0.6144, 0.0006)  1 Os 3.00, 4 Te 3.16-3.17, 4 Sc 3.33-3.35
Er (0.0000, 0.0006, 0.6144)  1 Os 3.00, 4 Te 3.16-3.17, 4 Sc 3.33-3.35
Gd (0.0000, 0.3937, 0.3937)  4 Te 3.17, 1 Os 3.23, 4 Sc 3.36
Os (0.0000, 0.9879, 0.9879)  6 Sc 2.67-2.74
Sc (0.5000, 0.2312, 0.0027)  2 Os 2.74
Sc (0.5000, 0.0027, 0.2312)  2 Os 2.74
Sc (0.5000, 0.7661, 0.7661)  2 Os 2.67
Te (0.5000, 0.6698, 0.3336)  3 Sc 3.11-3.15, 4 Er 3.16-3.17, 2 Gd 3.17
Te (0.5000, 0.3336, 0.6698)  3 Sc 3.11-3.15, 4 Er 3.16-3.17, 2 Gd 3.17

Summary:
- Raw total energy: -6.354 eV per atom
- M_tot: 0.04 Bohr magnetons per cell
- Symmetry: No. 38

=====

No. 10
## HoNbN2O (PBE)

Data for a relaxed structure of HoNbN2O.

abc: 4.0681 4.0681 3.9204
angles: 90.00 90.00 90.00
Closest atoms and distances in Å follow each position.
Fractional coordinates of all 5 atoms:
Ho (0.0000, 0.0000, 0.0000)  8 N 2.82, 4 O 2.88
N (0.5000, 0.0000, 0.5000)  2 Nb 2.03
N (0.0000, 0.5000, 0.5000)  2 Nb 2.03
Nb (0.5000, 0.5000, 0.5000)  2 O 1.96, 4 N 2.03
O (0.5000, 0.5000, 0.0000)  2 Nb 1.96

Summary:
- Raw total energy: -8.665 eV per atom
- M_tot: 0.00 Bohr magnetons per cell
- Symmetry: No. 123

=====

No. 11
## YNb2Al (PBE)

Data for a relaxed structure of YNb2Al.

abc: 4.8485 4.8485 4.8485
angles: 60.00 60.00 60.00
Closest atoms and distances in Å follow each position.
Fractional coordinates of all 4 atoms:
Al (0.5000, 0.5000, 0.5000)  4 Y 2.97, 4 Nb 2.97
Nb (0.0000, 0.0000, 0.0000)  4 Y 2.97, 4 Nb 2.97
Nb (0.7500, 0.7500, 0.7500)  4 Al 2.97, 4 Nb 2.97
Y (0.2500, 0.2500, 0.2500)  4 Al 2.97, 4 Nb 2.97

Summary:
- Raw total energy: -7.538 eV per atom
- M_tot: 0.01 Bohr magnetons per cell
- Symmetry: No. 216

=====

No. 12
## PrScZn2Sn2 (PBE)

Data for a relaxed structure of PrScZn2Sn2.

abc: 4.4792 4.4792 15.9124
angles: 90.00 90.00 120.00
Closest atoms and distances in Å follow each position.
Fractional coordinates of all 12 atoms:
Pr (0.0000, 0.0000, 0.0000)  6 Sn 3.24
Pr (0.0000, 0.0000, 0.5000)  6 Sn 3.24
Sc (0.0000, 0.0000, 0.2500)  6 Zn 2.90
Sc (0.0000, 0.0000, 0.7500)  6 Zn 2.90
Sn (0.3333, 0.6667, 0.1227)  3 Zn 2.68
Sn (0.3333, 0.6667, 0.3773)  3 Zn 2.68
Sn (0.6667, 0.3333, 0.6227)  3 Zn 2.68
Sn (0.6667, 0.3333, 0.8773)  3 Zn 2.68
Zn (0.6667, 0.3333, 0.1670)  1 Zn 2.64, 3 Sn 2.68, 3 Sc 2.90
Zn (0.6667, 0.3333, 0.3330)  1 Zn 2.64, 3 Sn 2.68, 3 Sc 2.90
Zn (0.3333, 0.6667, 0.6670)  1 Zn 2.64, 3 Sn 2.68, 3 Sc 2.90
Zn (0.3333, 0.6667, 0.8330)  1 Zn 2.64, 3 Sn 2.68, 3 Sc 2.90

Summary:
- E above lowest polymorph: 0.0 kJ/mol of formula units
- M_tot: 0.00 Bohr magnetons per cell
- Symmetry: No. 194